Below is a relaxed Rb3W5O12 crystal, with properties calculated at the PBE+U level.

The total DFT energy (no corrections) is -6.656 eV per atom.

The space group is Ia-3d (No. 230) and the conventional cell measures 13.927, 13.927 and 13.927 Å, with angles of 90.00, 90.00 and 90.00 degrees. The inequivalent atoms are Rb at (0.000, 0.250, 0.125), W at (0.000, 0.000, 0.000), W at (0.000, 0.250, 0.375) and O at (0.038, 0.145, 0.953).